The following is a PBE+U calculation of NaSrEuWO6 after structural relaxation, from Alexandria.

The structure in CIF format:
```
data_NaSrEuWO6
_chemical_formula_sum 'Na1 Sr1 Eu1 W1 O6'
_space_group_name_H-M_alt 'P 1'
_space_group_IT_number 1
_cell_length_a 5.803
_cell_length_b 5.803
_cell_length_c 5.803
_cell_angle_alpha 60.00
_cell_angle_beta 60.00
_cell_angle_gamma 60.00
loop_
_space_group_symop_operation_xyz
'x,y,z'
loop_
_atom_site_label
_atom_site_type_symbol
_atom_site_fract_x
_atom_site_fract_y
_atom_site_fract_z
_atom_site_occupancy
Na1 Na 0.000 0.000 0.000 1
Sr1 Sr 0.250 0.250 0.250 1
Eu1 Eu 0.750 0.750 0.750 1
W1 W 0.500 0.500 0.500 1
O1 O 0.264 0.264 0.736 1
O2 O 0.264 0.736 0.264 1
O3 O 0.264 0.736 0.736 1
O4 O 0.736 0.264 0.264 1
O5 O 0.736 0.264 0.736 1
O6 O 0.736 0.736 0.264 1
```

Its energy relative to the lowest polymorph listed for this composition is 75.2 meV/atom. The symmetry is F-43m, No. 216. Its total energy is -7.311 eV/atom.